# 1
Here is a relaxed KTaAu3 crystal from Alexandria. Energies are from PBE-GGA.

For the electronic total energy, the calculation gives -21.1 eV/cell. As for the formation energy from the elements: 335 meV/atom. The symmetry is Pm-3m (221). The value obtained for the polymorph energy (0 for the lowest one) is 0 meV per atom.

Cell: 5.2423 5.2423 5.2423 Å, 90.00 90.00 90.00°
Closest atoms and distances in Å follow each position.
Atoms (fractional coordinates):
K (0.0000, 0.0000, 0.0000)  12 Au 3.71
Ta (0.5000, 0.5000, 0.5000)  6 Au 2.62
Au (0.0000, 0.5000, 0.5000)  2 Ta 2.62
Au (0.5000, 0.0000, 0.5000)  2 Ta 2.62
Au (0.5000, 0.5000, 0.0000)  2 Ta 2.62


# 2
Here is a relaxed ZrTa2PdN crystal from Alexandria. Energies are from PBE-GGA.

For the electronic total energy, the calculation gives -49.0 eV/cell. The symmetry is P4/mmm (123). For the uncorrected formation energy, the calculation gives -0.653 eV per atom.

Cell: 4.1913 4.1913 4.5502 Å, 90.00 90.00 90.00°
Closest atoms and distances in Å follow each position.
Atoms (fractional coordinates):
Zr (0.0000, 0.0000, 0.0000)  2 N 2.28
Ta (0.0000, 0.5000, 0.5000)  2 N 2.10
Ta (0.5000, 0.0000, 0.5000)  2 N 2.10
Pd (0.5000, 0.5000, 0.0000)  4 Zr 2.96, 8 Ta 3.09
N (0.0000, 0.0000, 0.5000)  4 Ta 2.10, 2 Zr 2.28


# 3
Here is a relaxed Ce2UAu crystal from Alexandria. Energies are from PBE-GGA.

For the electronic total energy, the calculation gives -24.8 eV/cell. As for the formation energy from the elements: 418 meV/atom. The symmetry is R-3m (166). The value obtained for the polymorph energy (0 for the lowest one) is 595 meV per atom.

Cell: 9.1604 9.1604 9.1604 Å, 23.55 23.55 23.55°
Closest atoms and distances in Å follow each position.
Atoms (fractional coordinates):
Ce (0.1084, 0.1084, 0.1084)  3 U 2.66, 1 Au 2.90
Ce (0.8916, 0.8916, 0.8916)  3 U 2.66, 1 Au 2.90
U (0.5000, 0.5000, 0.5000)  6 Ce 2.66
Au (0.0000, 0.0000, 0.0000)  2 Ce 2.90


# 4
Here is a relaxed NbZnCl2 crystal from Alexandria. Energies are from PBE-GGA.

For the electronic total energy, the calculation gives -17.3 eV/cell. The symmetry is R-3m (166). The value obtained for the polymorph energy (0 for the lowest one) is 0 meV per atom. For the uncorrected formation energy, the calculation gives -0.556 eV per atom.

Cell: 10.2254 10.2254 10.2254 Å, 17.66 17.66 17.66°
Closest atoms and distances in Å follow each position.
Atoms (fractional coordinates):
Nb (0.0000, 0.0000, 0.0000)  6 Cl 2.55
Zn (0.5000, 0.5000, 0.5000)  6 Zn 3.14, 2 Cl 3.23
Cl (0.3929, 0.3929, 0.3929)  3 Nb 2.55
Cl (0.6071, 0.6071, 0.6071)  3 Nb 2.55


# 5
Here is a relaxed BaLi2Mo crystal from Alexandria. Energies are from PBE-GGA.

For the electronic total energy, the calculation gives -13.2 eV/cell. As for the formation energy from the elements: 834 meV/atom. The symmetry is Cm (8). The value obtained for the polymorph energy (0 for the lowest one) is 103 meV per atom.

Cell: 5.1247 5.1247 6.4738 Å, 95.70 95.70 33.87°
Closest atoms and distances in Å follow each position.
Atoms (fractional coordinates):
Ba (0.0000, 0.0000, 0.0000)  2 Ba 2.99, 3 Mo 3.25-3.30, 1 Li 3.32
Li (0.5123, 0.5123, 0.5356)  3 Mo 2.84-2.95, 5 Li 2.92-3.00
Li (0.7673, 0.7673, 0.3379)  2 Mo 2.83, 5 Li 2.92-3.00
Mo (0.2572, 0.2572, 0.7081)  5 Li 2.83-2.95, 2 Mo 2.99


# 6
Here is a relaxed Zn2FeBr crystal from Alexandria. Energies are from PBE-GGA.

For the electronic total energy, the calculation gives -10.9 eV/cell. The symmetry is P2/m (10). The value obtained for the polymorph energy (0 for the lowest one) is 308 meV per atom. For the uncorrected formation energy, the calculation gives 0.437 eV per atom.

Cell: 3.2140 5.1774 4.6957 Å, 90.00 100.63 90.00°
Closest atoms and distances in Å follow each position.
Atoms (fractional coordinates):
Zn (0.1868, 0.0000, 0.2711)  3 Zn 2.61-2.66, 2 Fe 2.91
Zn (0.8132, 0.0000, 0.7289)  3 Zn 2.61-2.66, 2 Fe 2.91
Fe (0.5000, 0.5000, 0.5000)  2 Br 2.35
Br (0.5000, 0.5000, 0.0000)  2 Fe 2.35